## KLiMn2 (SCAN)

Data for a crystal of KLiMn2 relaxed with PBEsol.

POSCAR file:
```
KLiMn2
1.0
2.3943 0.0000 0.0000
0.0000 2.3943 0.0000
0.0000 0.0000 10.1048
K Li Mn
1 1 2
direct
0.0000 0.0000 0.0000
0.0000 0.0000 0.5000
0.5000 0.5000 0.2857
0.5000 0.5000 0.7143
```

Summary:
Space group ... No. 123
Distance to the lowest polymorph of the same formula ... 0 meV per atom
Total magnetization ... 0.003 μB/f.u.
ΔH_f (0 K) ... 1.3270 eV/atom

=====

## SbOsPt2 (SCAN)

Data for a crystal of SbOsPt2 relaxed with PBEsol.

POSCAR file:
```
SbOsPt2
1.0
-2.0769 2.0769 3.7075
2.0769 -2.0769 3.7075
2.0769 2.0769 -3.7075
Sb Os Pt
1 1 2
direct
0.0000 0.0000 0.0000
0.7500 0.2500 0.5000
0.2500 0.7500 0.5000
0.5000 0.5000 0.0000
```

Summary:
Space group ... No. 119
Total magnetization ... 0.000 μB/f.u.
Calculated total energy ... -248.27 eV/cell

=====

## InRe2O2 (SCAN)

Data for a crystal of InRe2O2 relaxed with PBEsol.

POSCAR file:
```
InRe2O2
1.0
-1.9630 1.9630 4.4542
1.9630 -1.9630 4.4542
1.9630 1.9630 -4.4542
In Re O
1 2 2
direct
0.0000 0.0000 0.0000
0.2500 0.7500 0.5000
0.7500 0.2500 0.5000
0.3402 0.3402 0.0000
0.6598 0.6598 0.0000
```

Summary:
Space group ... No. 139
Total magnetization ... 0.000 μB/f.u.
Calculated total energy ... -186.55 eV/cell

=====

## Ti2BeBi (SCAN)

Data for a crystal of Ti2BeBi relaxed with PBEsol.

POSCAR file:
```
Ti2BeBi
1.0
-3.5636 3.5636 2.7508
3.5636 -3.5636 2.7508
3.5636 3.5636 -2.7508
Ti Be Bi
4 2 2
direct
0.0956 0.6250 0.9706
0.3750 0.3456 0.4706
0.6544 0.1250 0.0294
0.8750 0.9044 0.5294
0.0000 0.0000 0.0000
0.7500 0.2500 0.5000
0.2500 0.7500 0.5000
0.5000 0.5000 0.0000
```

Summary:
Space group ... No. 122
Total magnetization ... 0.000 μB/f.u.
ΔH_f (0 K) ... 0.2259 eV/atom

=====

## SbPb3 (SCAN)

Data for a crystal of SbPb3 relaxed with PBEsol.

POSCAR file:
```
SbPb3
1.0
6.8249 0.0000 0.0000
-3.4124 5.9105 0.0000
0.0000 0.0000 5.7265
Sb Pb
2 6
direct
0.3333 0.6667 0.2500
0.6667 0.3333 0.7500
0.1689 0.3378 0.7500
0.1689 0.8311 0.7500
0.3378 0.1689 0.2500
0.6622 0.8311 0.7500
0.8311 0.1689 0.2500
0.8311 0.6622 0.2500
```

Summary:
Space group ... No. 194
Total magnetization ... 0.000 μB/f.u.
Calculated total energy ... -528.65 eV/cell

=====

## Y3TiSb (SCAN)

Data for a crystal of Y3TiSb relaxed with PBEsol.

POSCAR file:
```
Y3TiSb
1.0
5.1756 0.0000 0.0000
0.0000 5.1756 0.0000
0.0000 0.0000 5.1756
Y Ti Sb
3 1 1
direct
0.0000 0.0000 0.5000
0.0000 0.5000 0.0000
0.5000 0.0000 0.0000
0.0000 0.0000 0.0000
0.5000 0.5000 0.5000
```

Summary:
Space group ... No. 221
Total magnetization ... 0.000 μB/f.u.
Calculated total energy ... -135.23 eV/cell

=====

## La2MnPt (SCAN)

Data for a crystal of La2MnPt relaxed with PBEsol.

POSCAR file:
```
La2MnPt
1.0
1.9958 1.1523 7.6748
-1.9958 1.1523 7.6748
0.0000 -2.3046 7.6748
La Mn Pt
2 1 1
direct
0.2438 0.2438 0.2438
0.7562 0.7562 0.7562
0.0000 0.0000 0.0000
0.5000 0.5000 0.5000
```

Summary:
Space group ... No. 166
Total magnetization ... 3.729 μB/f.u.
ΔH_f (0 K) ... -0.4748 eV/atom

=====

## K2BaSr (SCAN)

Data for a crystal of K2BaSr relaxed with PBEsol.

POSCAR file:
```
K2BaSr
1.0
2.1819 1.2597 14.9305
-2.1819 1.2597 14.9305
0.0000 -2.5195 14.9305
K Ba Sr
2 1 1
direct
0.0000 0.0000 0.0000
0.2448 0.2448 0.2448
0.4933 0.4933 0.4933
0.7497 0.7497 0.7497
```

Summary:
Space group ... No. 160
Total magnetization ... 0.117 μB/f.u.
ΔH_f (0 K) ... 0.0537 eV/atom

=====

## BiNF3 (SCAN)

Data for a crystal of BiNF3 relaxed with PBEsol.

POSCAR file:
```
BiNF3
1.0
3.9847 0.0000 0.0000
0.0000 3.9847 0.0000
0.0000 0.0000 3.9847
Bi N F
1 1 3
direct
0.0000 0.0000 0.0000
0.5000 0.5000 0.5000
0.0000 0.5000 0.5000
0.5000 0.0000 0.5000
0.5000 0.5000 0.0000
```

Summary:
Space group ... No. 221
Total magnetization ... 0.001 μB/f.u.
Calculated total energy ... -97.54 eV/cell

=====

## LaMg2Tl (SCAN)

Data for a crystal of LaMg2Tl relaxed with PBEsol.

POSCAR file:
```
LaMg2Tl
1.0
1.6731 0.9660 10.8806
-1.6731 0.9660 10.8806
0.0000 -1.9319 10.8806
La Mg Tl
1 2 1
direct
0.0000 0.0000 0.0000
0.2418 0.2418 0.2418
0.4970 0.4970 0.4970
0.7544 0.7544 0.7544
```

Summary:
Space group ... No. 160
Distance to the lowest polymorph of the same formula ... 253 meV per atom
Total magnetization ... 0.049 μB/f.u.
ΔH_f (0 K) ... -0.0810 eV/atom

=====

## Co2ReTc (SCAN)

Data for a crystal of Co2ReTc relaxed with PBEsol.

POSCAR file:
```
Co2ReTc
1.0
2.5795 0.0000 0.0000
0.0000 4.1296 0.0000
0.0000 0.0000 4.5017
Co Re Tc
2 1 1
direct
0.0000 0.0000 0.0000
0.0000 0.5000 0.3167
0.5000 0.5000 0.8295
0.5000 0.0000 0.4801
```

Summary:
Space group ... No. 25
Distance to the lowest polymorph of the same formula ... 0 meV per atom
Total magnetization ... 0.075 μB/f.u.
ΔH_f (0 K) ... 0.0363 eV/atom

=====

## ZrTeMo (SCAN)

Data for a crystal of ZrTeMo relaxed with PBEsol.

POSCAR file:
```
ZrTeMo
1.0
0.0000 2.5864 6.3642
1.8306 0.0000 6.3642
1.8306 2.5864 0.0000
Zr Te Mo
1 1 1
direct
0.0000 0.0000 0.0000
0.3208 0.3208 0.6792
0.6592 0.6592 0.3408
```

Summary:
Space group ... No. 42
Distance to the lowest polymorph of the same formula ... 229 meV per atom
Total magnetization ... 0.000 μB/f.u.

=====

## TlCoF2 (SCAN)

Data for a crystal of TlCoF2 relaxed with PBEsol.

POSCAR file:
```
TlCoF2
1.0
0.0000 3.0350 3.0350
3.0350 0.0000 3.0350
3.0350 3.0350 0.0000
Tl Co F
1 1 2
direct
0.0000 0.0000 0.0000
0.5000 0.5000 0.5000
0.2500 0.2500 0.2500
0.7500 0.7500 0.7500
```

Summary:
Space group ... No. 225
Total magnetization ... 2.158 μB/f.u.
Calculated total energy ... -99.93 eV/cell

=====

## Na2Al2Rh (SCAN)

Data for a crystal of Na2Al2Rh relaxed with PBEsol.

POSCAR file:
```
Na2Al2Rh
1.0
-1.7076 1.7076 7.7358
1.7076 -1.7076 7.7358
1.7076 1.7076 -7.7358
Na Al Rh
2 2 1
direct
0.2500 0.7500 0.5000
0.7500 0.2500 0.5000
0.0828 0.0828 0.0000
0.9172 0.9172 0.0000
0.5000 0.5000 0.0000
```

Summary:
Space group ... No. 139
Distance to the lowest polymorph of the same formula ... 337 meV per atom
Total magnetization ... 0.000 μB/f.u.
ΔH_f (0 K) ... 0.2107 eV/atom

=====

## Na3NbCu (SCAN)

Data for a crystal of Na3NbCu relaxed with PBEsol.

POSCAR file:
```
Na3NbCu
1.0
5.8083 0.0000 0.0000
0.0000 5.8083 0.0000
0.0000 0.0000 5.8083
Na Nb Cu
3 1 1
direct
0.0000 0.0000 0.5000
0.0000 0.5000 0.0000
0.5000 0.0000 0.0000
0.0000 0.0000 0.0000
0.5000 0.5000 0.5000
```

Summary:
Space group ... No. 221
Total magnetization ... 5.270 μB/f.u.
ΔH_f (0 K) ... 1.5386 eV/atom

=====

## LiTlRe (SCAN)

Data for a crystal of LiTlRe relaxed with PBEsol.

POSCAR file:
```
LiTlRe
1.0
0.0000 3.1714 3.1714
3.1714 0.0000 3.1714
3.1714 3.1714 0.0000
Li Tl Re
1 1 1
direct
0.0000 0.0000 0.0000
0.5000 0.5000 0.5000
0.2500 0.2500 0.2500
```

Summary:
Space group ... No. 216
Distance to the lowest polymorph of the same formula ... 674 meV per atom
Total magnetization ... 2.444 μB/f.u.
ΔH_f (0 K) ... 1.2561 eV/atom

=====

## ZrCo2Te (SCAN)

Data for a crystal of ZrCo2Te relaxed with PBEsol.

POSCAR file:
```
ZrCo2Te
1.0
3.1868 0.0000 0.0000
0.0000 3.8547 0.0000
0.0000 0.0000 5.3692
Zr Co Te
1 2 1
direct
0.0000 0.0000 0.0000
0.5000 0.5000 0.2162
0.5000 0.5000 0.7838
0.5000 0.0000 0.5000
```

Summary:
Space group ... No. 47
Total magnetization ... 1.609 μB/f.u.
Calculated total energy ... -102.73 eV/cell

=====

## Cd3Rh2 (SCAN)

Data for a crystal of Cd3Rh2 relaxed with PBEsol.

POSCAR file:
```
Cd3Rh2
1.0
4.4494 0.0000 0.0000
-2.2247 3.8533 0.0000
0.0000 0.0000 5.4085
Cd Rh
3 2
direct
0.0000 0.0000 0.0000
0.3333 0.6667 0.3601
0.6667 0.3333 0.6399
0.3333 0.6667 0.8614
0.6667 0.3333 0.1386
```

Summary:
Space group ... No. 164
Total magnetization ... 0.000 μB/f.u.
ΔH_f (0 K) ... -0.0475 eV/atom

=====

## Na2CaPb2 (SCAN)

Data for a crystal of Na2CaPb2 relaxed with PBEsol.

POSCAR file:
```
Na2CaPb2
1.0
-2.2500 2.2500 7.4007
2.2500 -2.2500 7.4007
2.2500 2.2500 -7.4007
Na Ca Pb
2 1 2
direct
0.2500 0.7500 0.5000
0.7500 0.2500 0.5000
0.0000 0.0000 0.0000
0.4018 0.4018 0.0000
0.5982 0.5982 0.0000
```

Summary:
Space group ... No. 139
Total magnetization ... 0.000 μB/f.u.
ΔH_f (0 K) ... -0.3823 eV/atom

=====

## RbAg2Te2 (SCAN)

Data for a crystal of RbAg2Te2 relaxed with PBEsol.

POSCAR file:
```
RbAg2Te2
1.0
-2.2462 2.2462 7.1292
2.2462 -2.2462 7.1292
2.2462 2.2462 -7.1292
Rb Ag Te
1 2 2
direct
0.0000 0.0000 0.0000
0.2500 0.7500 0.5000
0.7500 0.2500 0.5000
0.3676 0.3676 0.0000
0.6324 0.6324 0.0000
```

Summary:
Space group ... No. 139
Total magnetization ... 0.003 μB/f.u.
Calculated total energy ... -160.30 eV/cell

=====

## Li3Bi5P6O24 (SCAN)

Data for a crystal of Li3Bi5P6O24 relaxed with PBEsol.

POSCAR file:
```
Li3Bi5P6O24
1.0
8.5328 0.0000 0.0000
-2.8351 8.2120 0.0000
-2.9763 -3.9341 7.1700
Li Bi P O
3 5 6 24
direct
0.0000 0.0000 0.0000
0.1840 0.7656 0.9347
0.4850 0.3149 0.7045
0.0028 0.0465 0.5811
0.3353 0.5258 0.2102
0.4954 0.8834 0.7320
0.6300 0.1894 0.3730
0.8473 0.5393 0.2104
0.1227 0.4140 0.4764
0.2407 0.9113 0.3414
0.3695 0.1645 0.9682
0.6142 0.7904 0.1018
0.7482 0.6555 0.5955
0.8617 0.2800 0.8449
0.0650 0.4471 0.9820
0.0760 0.8851 0.3907
0.1558 0.2775 0.5446
0.1566 0.3848 0.3091
0.1757 0.8990 0.1518
0.2249 0.1911 0.0260
0.2513 0.6131 0.6409
0.2789 0.7503 0.3564
0.3363 0.1877 0.7933
0.3603 0.9755 0.9303
0.4099 0.7269 0.0683
0.4256 0.0952 0.4947
0.5721 0.3165 0.1414
0.5861 0.7108 0.5660
0.6463 0.4472 0.5430
0.6527 0.6249 0.0745
0.6570 0.8625 0.9714
0.7218 0.3430 0.8774
0.7511 0.9580 0.3058
0.8057 0.6831 0.4492
0.8331 0.1042 0.8643
0.8357 0.2315 0.6442
0.9110 0.3751 0.4013
0.9208 0.7751 0.7880
```

Summary:
Space group ... No. 1
Total magnetization ... 0.000 μB/f.u.
Calculated total energy ... -693.60 eV/cell

=====

## YBS2N (SCAN)

Data for a crystal of YBS2N relaxed with PBEsol.

POSCAR file:
```
YBS2N
1.0
5.1085 0.0000 0.0000
0.0000 5.1085 0.0000
0.0000 0.0000 2.7660
Y B S N
1 1 2 1
direct
0.0000 0.0000 0.0000
0.5000 0.5000 0.5000
0.0000 0.5000 0.5000
0.5000 0.0000 0.5000
0.5000 0.5000 0.0000
```

Summary:
Space group ... No. 123
Total magnetization ... 0.000 μB/f.u.
Calculated total energy ... -66.28 eV/cell

=====

## CaIn2Te4 (SCAN)

Data for a crystal of CaIn2Te4 relaxed with PBEsol.

POSCAR file:
```
CaIn2Te4
1.0
-4.0322 4.0322 3.4845
4.0322 -4.0322 3.4845
4.0322 4.0322 -3.4845
Ca In Te
1 2 4
direct
0.0000 0.0000 0.0000
0.0000 0.5000 0.5000
0.5000 0.0000 0.5000
0.0563 0.5563 0.1127
0.4437 0.9437 0.8873
0.5563 0.4437 0.5000
0.9437 0.0563 0.5000
```

Summary:
Space group ... No. 97
Total magnetization ... 0.000 μB/f.u.
Calculated total energy ... -230.35 eV/cell

=====

## Li3SbAs (SCAN)

Data for a crystal of Li3SbAs relaxed with PBEsol.

POSCAR file:
```
Li3SbAs
1.0
4.6927 0.0000 0.0000
0.0000 4.6927 0.0000
0.0000 0.0000 4.6927
Li Sb As
3 1 1
direct
0.0000 0.0000 0.5000
0.0000 0.5000 0.0000
0.5000 0.0000 0.0000
0.5000 0.5000 0.5000
0.0000 0.0000 0.0000
```

Summary:
Space group ... No. 221
Total magnetization ... 0.000 μB/f.u.
Calculated total energy ... -65.62 eV/cell

=====

## BaPtPb2 (SCAN)

Data for a crystal of BaPtPb2 relaxed with PBEsol.

POSCAR file:
```
BaPtPb2
1.0
2.3318 1.3463 6.1396
-2.3318 1.3463 6.1396
0.0000 -2.6925 6.1396
Ba Pt Pb
1 1 2
direct
0.0000 0.0000 0.0000
0.5000 0.5000 0.5000
0.2172 0.2172 0.2172
0.7828 0.7828 0.7828
```

Summary:
Space group ... No. 166
Total magnetization ... 0.000 μB/f.u.
ΔH_f (0 K) ... -0.6001 eV/atom

=====

## KZrMo2 (SCAN)

Data for a crystal of KZrMo2 relaxed with PBEsol.

POSCAR file:
```
KZrMo2
1.0
3.8752 0.0000 0.0000
0.0000 3.8752 0.0000
0.0000 0.0000 5.0141
K Zr Mo
1 1 2
direct
0.0000 0.0000 0.0000
0.5000 0.5000 0.0000
0.0000 0.5000 0.5000
0.5000 0.0000 0.5000
```

Summary:
Space group ... No. 123
Distance to the lowest polymorph of the same formula ... 603 meV per atom
Total magnetization ... 0.000 μB/f.u.
ΔH_f (0 K) ... 1.4394 eV/atom